<one>
Compound: Ho8ZnPd2
Source: Alexandria
Functional: GGA-PBE
Structure: optimized geometry

Values from the calculation:
The density of states at the Fermi level is 15.6 states/eV/cell.

```
11
Lattice="4.2209 -6.6961 0.0000 4.2209 6.6961 0.0000 -1.6516 0.0000 5.3249" Properties=species:S:1:pos:R:3 pbc="T T T"
Ho 0.0000 0.0000 0.0000
Ho 0.4224 1.6750 3.1157
Ho 2.8249 3.0468 1.0030
Ho 0.4224 -1.6750 3.1157
Ho 3.6517 1.6672 4.1401
Ho 2.8249 -3.0468 1.0030
Ho 3.6517 -1.6672 4.1401
Ho 5.7699 0.0000 2.0075
Zn 2.6922 0.0000 1.5035
Pd 2.0402 4.0523 3.6846
Pd 2.0402 -4.0523 3.6846
```



<two>
Compound: Ho8ZnPd2
Source: Alexandria
Functional: GGA-PBE
Structure: optimized geometry

Values from the calculation:
The density of states at the Fermi level is 12.0 states/eV/cell.

```
11
Lattice="8.7732 -2.5356 0.0000 8.7732 2.5356 0.0000 -1.9074 0.0000 6.4954" Properties=species:S:1:pos:R:3 pbc="T T T"
Ho 0.0360 0.0000 1.8192
Ho 1.9375 0.0000 5.3474
Ho 4.7862 0.0000 3.3738
Ho 7.0747 0.0000 0.2383
Ho 8.5643 0.0000 6.2571
Ho 10.8529 0.0000 3.1216
Ho 13.7016 0.0000 1.1479
Ho 15.6030 0.0000 4.6761
Zn 7.8195 0.0000 3.2477
Pd 2.7989 0.0000 1.4434
Pd 12.8402 0.0000 5.0520
```



<two> is preferred energetically. Next in line: 12.1 kJ/mol of atoms higher.



<one>
Compound: Ho2ZnPd3
Source: Alexandria
Functional: GGA-PBE
Structure: optimized geometry

Values from the calculation:
The density of states at the Fermi level is 5.1 states/eV/cell.

```
12
Lattice="0.0000 4.5302 7.6430 3.4637 0.0000 7.6430 3.4637 4.5302 0.0000" Properties=species:S:1:pos:R:3 pbc="T T T"
Ho 5.2160 4.5302 7.6430
Ho 1.7319 2.2651 3.8215
Ho 5.1956 6.7953 11.4645
Ho 1.7115 4.5302 7.6430
Zn 3.4637 4.5302 5.0939
Zn 3.4637 4.5302 10.1921
Pd 3.4637 4.5302 2.6068
Pd 3.4637 2.3539 6.3068
Pd 3.4637 2.3539 8.9792
Pd 3.4637 6.7064 6.3068
Pd 3.4637 6.7064 8.9792
Pd 3.4637 4.5302 12.6792
```



<two>
Compound: Ho2ZnPd3
Source: Alexandria
Functional: GGA-PBE
Structure: optimized geometry

Values from the calculation:
The density of states at the Fermi level is 7.3 states/eV/cell.

```
24
Lattice="7.1488 0.0000 0.0000 0.0000 3.8129 0.0000 0.0000 0.0000 17.1755" Properties=species:S:1:pos:R:3 pbc="T T T"
Ho 0.7820 0.9532 3.5944
Ho 1.1437 0.9532 7.3766
Ho 2.4307 2.8597 15.9644
Ho 2.7925 2.8597 12.1821
Ho 4.3564 0.9532 4.9934
Ho 4.7182 0.9532 1.2112
Ho 6.0051 2.8597 9.7989
Ho 6.3669 2.8597 13.5812
Zn 0.0824 2.8597 1.0260
Zn 3.4920 0.9532 9.6137
Zn 3.6568 2.8597 7.5618
Zn 7.0664 0.9532 16.1496
Pd 0.6132 0.9532 11.2601
Pd 1.4038 0.9532 13.9761
Pd 1.7422 2.8597 9.4799
Pd 1.8322 0.9532 0.8922
Pd 2.1706 2.8597 5.3883
Pd 2.9612 2.8597 2.6724
Pd 4.1876 0.9532 14.5032
Pd 4.9782 0.9532 11.7872
Pd 5.3166 2.8597 16.2833
Pd 5.4066 0.9532 7.6956
Pd 5.7450 2.8597 3.1995
Pd 6.5356 2.8597 5.9154
```



<two> is preferred energetically. Next in line: 8.1 kJ/mol of atoms higher.



<one>
Compound: HoZn3Pd3
Source: Alexandria
Functional: GGA-PBE
Structure: optimized geometry

Values from the calculation:
The density of states at the Fermi level is 5.9 states/eV/cell.

```
14
Lattice="6.7630 0.0000 0.0000 0.0000 6.7630 0.0000 0.0000 0.0000 6.7630" Properties=species:S:1:pos:R:3 pbc="T T T"
Ho 0.0000 0.0000 0.0000
Ho 3.3815 3.3815 3.3815
Zn 0.0000 1.6908 3.3815
Zn 0.0000 5.0723 3.3815
Zn 1.6908 3.3815 0.0000
Zn 3.3815 0.0000 1.6908
Zn 3.3815 0.0000 5.0723
Zn 5.0723 3.3815 0.0000
Pd 0.0000 3.3815 1.6908
Pd 0.0000 3.3815 5.0723
Pd 1.6908 0.0000 3.3815
Pd 3.3815 1.6908 0.0000
Pd 3.3815 5.0723 0.0000
Pd 5.0723 0.0000 3.3815
```



<two>
Compound: HoZn3Pd3
Source: Alexandria
Functional: GGA-PBE
Structure: optimized geometry

Values from the calculation:
The density of states at the Fermi level is 4.4 states/eV/cell.

```
14
Lattice="3.3576 1.9385 6.2570 -3.3576 1.9385 6.2570 0.0000 -3.8770 6.2570" Properties=species:S:1:pos:R:3 pbc="T T T"
Ho 0.0000 0.0000 3.0002
Ho 0.0000 0.0000 15.7708
Zn -0.5897 -1.6978 5.5655
Zn -1.1755 1.3596 5.5655
Zn -1.7652 -0.3382 13.2055
Zn 1.7652 0.3382 5.5655
Zn 1.1755 -1.3596 13.2055
Zn 0.5897 1.6978 13.2055
Pd -0.7886 -1.4211 8.1748
Pd -1.6250 -0.0277 10.5961
Pd -0.8365 1.3935 8.1748
Pd 0.8365 -1.3935 10.5961
Pd 1.6250 0.0277 8.1749
Pd 0.7886 1.4211 10.5961
```



<two> is preferred energetically. Next in line: 52.1 kJ/mol of atoms higher.



<one>
Compound: Ho2Zn2Pd
Source: Alexandria
Functional: GGA-PBE
Structure: optimized geometry

Values from the calculation:
The density of states at the Fermi level is 24.6 states/eV/cell.

```
20
Lattice="7.0107 0.0000 0.0000 0.0000 7.0107 0.0000 0.0000 0.0000 8.5060" Properties=species:S:1:pos:R:3 pbc="T T T"
Ho 1.2251 2.2762 0.0000
Ho 1.2291 2.2802 4.2530
Ho 2.2762 5.7855 0.0000
Ho 2.2802 5.7815 4.2530
Ho 4.7345 1.2251 0.0000
Ho 4.7305 1.2291 4.2530
Ho 5.7855 4.7345 0.0000
Ho 5.7815 4.7305 4.2530
Zn 0.8952 4.4005 2.1265
Zn 0.8952 4.4005 6.3795
Zn 2.6101 0.8952 2.1265
Zn 2.6101 0.8952 6.3795
Zn 4.4005 6.1155 2.1265
Zn 4.4005 6.1155 6.3795
Zn 6.1155 2.6101 2.1265
Zn 6.1155 2.6101 6.3795
Pd 0.0000 0.0000 2.1145
Pd 0.0000 0.0000 6.3915
Pd 3.5053 3.5053 2.1385
Pd 3.5053 3.5053 6.3675
```



<two>
Compound: Ho2Zn2Pd
Source: Alexandria
Functional: GGA-PBE
Structure: optimized geometry

Values from the calculation:
The density of states at the Fermi level is 6.5 states/eV/cell.

```
10
Lattice="5.0858 -2.1210 0.0000 5.0858 2.1210 0.0000 -4.1558 0.0000 9.8392" Properties=species:S:1:pos:R:3 pbc="T T T"
Ho -1.2881 0.0000 3.2897
Ho 1.4857 0.0000 1.1409
Ho 4.5302 0.0000 8.6983
Ho 7.3039 0.0000 6.5495
Zn 1.7516 0.0000 4.3863
Zn 4.4021 0.0000 1.0783
Zn 1.6138 0.0000 8.7609
Zn 4.2642 0.0000 5.4530
Pd 0.0930 0.0000 6.6177
Pd 5.9229 0.0000 3.2216
```



<two> is preferred energetically. Next in line: 8.7 kJ/mol of atoms higher.



<one>
Compound: Pm4Ho3
Source: Alexandria
Functional: GGA-PBE
Structure: optimized geometry

Values from the calculation:
The density of states at the Fermi level is 22.7 states/eV/cell.

```
14
Lattice="16.8939 0.0000 0.0000 0.0000 3.5090 0.0000 -3.9245 0.0000 7.8744" Properties=species:S:1:pos:R:3 pbc="T T T"
Pm 0.5388 0.0000 1.6106
Pm -1.2256 1.7545 7.1470
Pm 5.7481 0.0000 0.7274
Pm 3.9837 1.7545 6.2639
Pm 8.9857 1.7545 1.6106
Pm 7.2213 0.0000 7.1470
Pm 14.1951 1.7545 0.7274
Pm 12.4307 0.0000 6.2639
Ho -1.9622 0.0000 3.9372
Ho 1.2027 0.0000 5.0763
Ho 3.3198 1.7545 2.7982
Ho 6.4847 1.7545 3.9372
Ho 9.6497 1.7545 5.0763
Ho 11.7667 0.0000 2.7982
```



<two>
Compound: Pm4Ho3
Source: Alexandria
Functional: GGA-PBE
Structure: optimized geometry

Values from the calculation:
The density of states at the Fermi level is 18.4 states/eV/cell.

```
14
Lattice="11.3379 0.0000 0.0000 0.0000 5.0877 0.0000 -1.1366 0.0000 7.9754" Properties=species:S:1:pos:R:3 pbc="T T T"
Pm 1.1291 0.0000 3.4061
Pm 2.2687 2.5439 1.1288
Pm 2.2637 0.0000 6.8467
Pm 3.4032 2.5439 4.5694
Pm 6.7981 2.5439 3.4061
Pm 7.9376 0.0000 1.1288
Pm 7.9326 2.5439 6.8467
Pm 9.0721 0.0000 4.5694
Ho 0.0000 0.0000 0.0000
Ho -0.0062 2.5439 5.6951
Ho 4.5385 0.0000 2.2804
Ho 5.6689 2.5439 0.0000
Ho 5.6628 0.0000 5.6951
Ho 10.2074 2.5439 2.2804
```



<two> is preferred energetically. Next in line: 11.0 kJ/mol of atoms higher.



<one>
Compound: Pm8Ho3
Source: Alexandria
Functional: GGA-PBE
Structure: optimized geometry

Values from the calculation:
The density of states at the Fermi level is 15.0 states/eV/cell.

```
11
Lattice="6.3450 0.0000 0.0000 1.6854 6.9664 0.0000 1.7903 1.7120 8.3938" Properties=species:S:1:pos:R:3 pbc="T T T"
Pm 1.7433 3.2100 2.9950
Pm 2.5271 6.7831 2.1050
Pm 4.1042 2.6892 7.1684
Pm 5.3141 6.4069 7.2892
Pm 4.5067 2.2715 1.1046
Pm 5.7166 5.9892 1.2254
Pm 7.2937 1.8953 6.2888
Pm 8.0775 5.4685 5.3988
Ho 0.8427 3.4832 0.0000
Ho 4.0677 0.8560 4.1969
Ho 4.9104 4.3392 4.1969
```



<two>
Compound: Pm8Ho3
Source: Alexandria
Functional: GGA-PBE
Structure: optimized geometry

Values from the calculation:
The density of states at the Fermi level is 12.2 states/eV/cell.

```
11
Lattice="4.8854 2.8206 4.5882 -4.8854 2.8206 4.5882 0.0000 -5.6411 4.5882" Properties=species:S:1:pos:R:3 pbc="T T T"
Pm 0.0000 0.0000 1.5513
Pm -0.7650 -1.9453 5.3132
Pm -1.3022 1.6352 5.3132
Pm -2.0672 -0.3101 8.4515
Pm 2.0672 0.3101 5.3132
Pm 1.3022 -1.6352 8.4515
Pm 0.7650 1.9453 8.4515
Pm 0.0000 0.0000 12.2134
Ho -4.8854 0.0000 6.8824
Ho -2.4427 1.4103 2.2941
Ho 2.4427 1.4103 2.2941
```



<one> is preferred energetically. Next in line: 27.7 kJ/mol of atoms higher.



<one>
Compound: Pm3Ho7
Source: Alexandria
Functional: GGA-PBE
Structure: optimized geometry

Values from the calculation:
The density of states at the Fermi level is 16.1 states/eV/cell.

```
10
Lattice="8.3116 -2.8164 0.0000 8.3116 2.8164 0.0000 -1.4799 0.0000 6.8387" Properties=species:S:1:pos:R:3 pbc="T T T"
Pm 0.0000 0.0000 0.0000
Pm 2.2923 0.0000 5.8325
Pm 12.8509 0.0000 1.0063
Ho -0.7400 0.0000 3.4194
Ho 2.9597 0.0000 2.4463
Ho 6.3417 0.0000 1.3865
Ho 5.6737 0.0000 4.7662
Ho 9.4696 0.0000 2.0725
Ho 8.8015 0.0000 5.4523
Ho 12.1836 0.0000 4.3925
```



<two>
Compound: Pm3Ho7
Source: Alexandria
Functional: GGA-PBE
Structure: optimized geometry

Values from the calculation:
The density of states at the Fermi level is 32.9 states/eV/cell.

```
20
Lattice="10.7496 0.0000 0.0000 -5.3748 9.3094 0.0000 0.0000 0.0000 6.4737" Properties=species:S:1:pos:R:3 pbc="T T T"
Pm 0.0000 3.7845 0.0000
Pm -2.0974 7.4172 0.0000
Pm 3.2774 1.8922 3.2368
Pm 2.0974 7.4172 0.0000
Pm 7.4722 1.8922 3.2368
Pm 5.3748 5.5250 3.2368
Ho -2.2171 4.9262 4.2527
Ho 0.0000 2.2528 3.1145
Ho -3.4238 8.1830 3.1145
Ho 1.9510 1.1264 6.3514
Ho 0.0000 6.2063 2.2457
Ho 2.2171 4.9262 4.2527
Ho 0.0000 8.7663 4.2527
Ho 5.3748 0.5431 1.0159
Ho 3.1577 4.3832 1.0159
Ho 5.3748 3.1031 5.4826
Ho 3.4238 8.1830 3.1145
Ho 8.7986 1.1264 6.3514
Ho 5.3748 7.0566 6.3514
Ho 7.5919 4.3832 1.0159
```



<one> is preferred energetically. Next in line: 12.7 kJ/mol of atoms higher.



<one>
Compound: PmHo
Source: Alexandria
Functional: GGA-PBE
Structure: optimized geometry

Values from the calculation:
The density of states at the Fermi level is 3.5 states/eV/cell.

```
2
Lattice="3.6366 0.0000 0.0000 -1.8183 3.1494 0.0000 0.0000 0.0000 5.7551" Properties=species:S:1:pos:R:3 pbc="T T T"
Pm 0.0000 0.0000 0.0000
Ho 0.0000 2.0996 2.8775
```



<two>
Compound: PmHo
Source: Alexandria
Functional: GGA-PBE
Structure: optimized geometry

Values from the calculation:
The density of states at the Fermi level is 14.5 states/eV/cell.

```
8
Lattice="6.5038 0.0000 0.0000 0.0000 6.5038 0.0000 0.0000 0.0000 6.5038" Properties=species:S:1:pos:R:3 pbc="T T T"
Pm 0.0000 0.0000 0.0000
Pm 0.0000 3.2519 3.2519
Pm 3.2519 0.0000 3.2519
Pm 3.2519 3.2519 0.0000
Ho 0.0000 0.0000 3.2519
Ho 0.0000 3.2519 0.0000
Ho 3.2519 0.0000 0.0000
Ho 3.2519 3.2519 3.2519
```



<one> is preferred energetically. Next in line: 66.2 kJ/mol of atoms higher.



<one>
Compound: PmHo
Source: Alexandria
Functional: GGA-PBE
Structure: optimized geometry

Values from the calculation:
The density of states at the Fermi level is 4.1 states/eV/cell.

```
2
Lattice="4.0445 0.0000 0.0000 0.0000 4.0445 0.0000 0.0000 0.0000 4.0445" Properties=species:S:1:pos:R:3 pbc="T T T"
Pm 0.0000 0.0000 0.0000
Ho 2.0223 2.0223 2.0223
```



<two>
Compound: PmHo
Source: Alexandria
Functional: GGA-PBE
Structure: optimized geometry

Values from the calculation:
The density of states at the Fermi level is 4.8 states/eV/cell.

```
4
Lattice="3.5870 0.0000 0.0000 0.0000 5.0655 0.0000 0.0000 0.0000 7.1774" Properties=species:S:1:pos:R:3 pbc="T T T"
Pm 0.8968 1.2664 0.9140
Pm 2.6903 3.7991 6.2633
Ho 0.8968 1.2664 4.4639
Ho 2.6903 3.7991 2.7135
```



<two> is preferred energetically. Next in line: 9.7 kJ/mol of atoms higher.



<one>
Compound: Pm2Ho7
Source: Alexandria
Functional: GGA-PBE
Structure: optimized geometry

Values from the calculation:
The density of states at the Fermi level is 12.7 states/eV/cell.

```
9
Lattice="6.1500 0.0000 0.0000 -3.0750 5.3260 0.0000 0.0000 0.0000 8.6909" Properties=species:S:1:pos:R:3 pbc="T T T"
Pm 0.0000 3.5507 0.0000
Pm 3.0750 1.7753 0.0000
Ho 0.0000 0.0000 0.0000
Ho -1.0223 1.7706 5.7733
Ho -2.0527 3.5554 2.9176
Ho 2.0445 0.0000 5.7733
Ho 1.0223 1.7706 2.9176
Ho 4.1054 0.0000 2.9176
Ho 2.0527 3.5554 5.7733
```



<two>
Compound: Pm2Ho7
Source: Alexandria
Functional: GGA-PBE
Structure: optimized geometry

Values from the calculation:
The density of states at the Fermi level is 16.4 states/eV/cell.

```
9
Lattice="9.6590 0.0000 0.0000 -4.8295 8.3650 0.0000 0.0000 0.0000 3.5564" Properties=species:S:1:pos:R:3 pbc="T T T"
Pm 0.0000 5.5766 0.0000
Pm 4.8295 2.7883 0.0000
Ho 0.0000 0.0000 1.7782
Ho -1.4679 2.5424 0.0000
Ho -3.1138 5.3933 1.7782
Ho 2.9357 0.0000 0.0000
Ho 1.7157 2.9716 1.7782
Ho 6.2277 0.0000 1.7782
Ho 3.3616 5.8225 0.0000
```



<one> is preferred energetically. Next in line: 2.2 kJ/mol of atoms higher.